# 1
CdMoPt2: relaxed, PBE.

Output
**Magnetization**: 0.00 μB/cell
**Energy of formation from the pure elements**: -0.073 eV/atom

Lattice parameters (Å, degrees): 4.893 4.893 2.806 90.00 90.00 90.00
Space group P4/mmm (No. 123)
Symmetry-distinct sites (fractional):
1 Cd 0.000 0.000 0.000 [1 per cell]
2 Mo 0.500 0.500 0.000 [1 per cell]
3 Pt 0.000 0.500 0.500 [2 per cell]

---

# 2
CdMoPt2: relaxed, PBE.

Output
**Magnetization**: 0.00 μB/cell
**Energy of formation from the pure elements**: 0.192 eV/atom

Lattice parameters (Å, degrees): 2.807 4.830 4.957 90.00 90.00 90.00
Space group Pmmm (No. 47)
Symmetry-distinct sites (fractional):
1 Cd 0.000 0.000 0.000 [1 per cell]
2 Mo 0.500 0.000 0.500 [1 per cell]
3 Pt 0.000 0.500 0.500 [1 per cell]
4 Pt 0.500 0.500 0.000 [1 per cell]

---

# 3
CdMo2Pt: relaxed, PBE.

Output
**Magnetization**: 0.00 μB/cell
**Energy of formation from the pure elements**: 0.123 eV/atom

Lattice parameters (Å, degrees): 2.739 4.129 5.900 90.00 90.00 90.00
Space group Pmm2 (No. 25)
Symmetry-distinct sites (fractional):
1 Cd 0.000 0.000 0.000 [1 per cell]
2 Mo 0.000 0.000 0.502 [1 per cell]
3 Mo 0.500 0.500 0.273 [1 per cell]
4 Pt 0.500 0.500 0.749 [1 per cell]

---

# 4
Cd2MoPt: relaxed, PBE.

Output
**Magnetization**: 0.00 μB/cell
**Energy of formation from the pure elements**: 0.208 eV/atom
**Energy relative to the lowest polymorph listed for this composition**: 244.1 meV/atom

Lattice parameters (Å, degrees): 2.811 4.790 5.291 90.00 95.28 90.00
Space group P2/m (No. 10)
Symmetry-distinct sites (fractional):
1 Cd 0.196 0.000 0.250 [2 per cell]
2 Mo 0.500 0.500 0.000 [1 per cell]
3 Pt 0.000 0.500 0.500 [1 per cell]

---

# 5
CdMoPt2: relaxed, PBE.

Output
**Magnetization**: 0.00 μB/cell
**Energy of formation from the pure elements**: -0.172 eV/atom

Lattice parameters (Å, degrees): 2.8535 2.8535 28.1974 90.00 90.00 120.00
Space group R-3m (No. 166, hexagonal axes)
Symmetry-distinct sites (fractional):
1 Cd 0.0000 0.0000 0.0000 [3 per cell]
2 Mo 0.0000 0.0000 0.5000 [3 per cell]
3 Pt 0.0000 0.0000 0.2452 [6 per cell]

---

# 6
CdMoPt2: relaxed, PBE.

Output
**Magnetization**: 0.00 μB/cell
**Energy of formation from the pure elements**: -0.058 eV/atom

Lattice parameters (Å, degrees): 2.816 4.036 5.904 90.00 90.00 90.00
Space group Pmm2 (No. 25)
Symmetry-distinct sites (fractional):
1 Cd 0.000 0.000 0.000 [1 per cell]
2 Mo 0.500 0.500 0.300 [1 per cell]
3 Pt 0.000 0.000 0.492 [1 per cell]
4 Pt 0.500 0.500 0.760 [1 per cell]

---

# 7
CdMoPt: relaxed, PBE.

Output
**Magnetization**: 0.00 μB/cell
**Energy of formation from the pure elements**: -0.039 eV/atom
**Energy relative to the lowest polymorph listed for this composition**: 129.4 meV/atom

Lattice parameters (Å, degrees): 2.863 2.863 12.473 90.00 90.00 90.00
Space group I4mm (No. 107)
Symmetry-distinct sites (fractional):
1 Cd 0.000 0.000 0.000 [2 per cell]
2 Mo 0.000 0.000 0.321 [2 per cell]
3 Pt 0.000 0.000 0.676 [2 per cell]

---

# 8
SrCdMoPt2: relaxed, PBE.

Output
**Magnetization**: 0.00 μB/cell
**Energy of formation from the pure elements**: 0.160 eV/atom

Lattice parameters (Å, degrees): 4.922 4.922 5.245 90.00 90.00 90.00
Space group P4/mmm (No. 123)
Symmetry-distinct sites (fractional):
1 Sr 0.000 0.000 0.000 [1 per cell]
2 Cd 0.500 0.500 0.000 [1 per cell]
3 Mo 0.500 0.500 0.500 [1 per cell]
4 Pt 0.000 0.500 0.500 [2 per cell]

---

Question: The highest energy of formation from the pure elements belongs to which entry?
Answer: Cd2MoPt

---

Question: Look up the energy of formation from the pure elements of the second one.
Answer: 0.192 eV/atom